An optimized crystal structure of PuPdPb, computed with PBE-GGA.

Values from the calculation:
The uncorrected energy is -0.291 Ha/atom. Its calculated volume is 143.2 Å³/cell.

Cell: 5.2963 4.5200 6.4822 Å, 110.40 80.56 90.00°
With the nearest neighbours (Å) after each atom.
Positions (direct):
Pb (0.2162, 0.2485, 0.4970)  3 Pd 2.90-3.05, 2 Pb 3.21, 1 Pu 3.23
Pb (0.7838, 0.7515, 0.5030)  3 Pd 2.90-3.05, 2 Pb 3.21, 1 Pu 3.23
Pu (0.2669, 0.9370, 0.8740)  2 Pu 2.97-3.12, 4 Pd 3.01-3.18, 3 Pb 3.23-3.26
Pu (0.7331, 0.0630, 0.1260)  2 Pu 2.97-3.12, 4 Pd 3.01-3.18, 3 Pb 3.23-3.26
Pd (0.3036, 0.5966, 0.1933)  1 Pd 2.85, 3 Pb 2.90-3.05, 4 Pu 3.01-3.18
Pd (0.6964, 0.4034, 0.8067)  1 Pd 2.85, 3 Pb 2.90-3.05, 4 Pu 3.01-3.18



An optimized crystal structure of InPb2, computed with PBE-GGA.

Values from the calculation:
The uncorrected energy is -0.120 Ha/atom. Its calculated volume is 101.2 Å³/cell.

Cell: 4.8748 4.8748 4.2577 Å, 90.00 90.00 90.00°
With the nearest neighbours (Å) after each atom.
Positions (direct):
Pb (0.0000, 0.5000, 0.5000)  4 In 3.24, 4 Pb 3.45
Pb (0.5000, 0.0000, 0.5000)  4 In 3.24, 4 Pb 3.45
In (0.0000, 0.0000, 0.0000)  8 Pb 3.24



An optimized crystal structure of Sc2TiS4, computed with PBE-GGA.

Values from the calculation:
The uncorrected energy is -0.257 Ha/atom. Its calculated volume is 135.6 Å³/cell. The calculation puts the formation energy from raw total energies at -1710 meV/atom.

Cell: 3.6254 6.4385 6.8770 Å, 117.78 105.28 90.00°
With the nearest neighbours (Å) after each atom.
Positions (direct):
S (0.1179, 0.7999, 0.2358)  1 Ti 2.46, 3 Sc 2.54-2.57
S (0.6251, 0.2807, 0.2503)  2 Ti 2.53, 3 Sc 2.63-2.66
S (0.3749, 0.7193, 0.7497)  2 Ti 2.53, 3 Sc 2.63-2.66
S (0.8821, 0.2001, 0.7642)  1 Ti 2.46, 3 Sc 2.54-2.57
Ti (0.0000, 0.0000, 0.0000)  6 S 2.46-2.53
Sc (0.2604, 0.2476, 0.5208)  6 S 2.54-2.66
Sc (0.7396, 0.7524, 0.4792)  6 S 2.54-2.66



An optimized crystal structure of Ca2Hg2SbO6, computed with PBE-GGA.

Values from the calculation:
The uncorrected energy is -0.187 Ha/atom. Its calculated volume is 195.4 Å³/cell. The calculation puts the formation energy from raw total energies at -1601 meV/atom.

Cell: 5.9981 5.9981 6.3192 Å, 89.19 89.19 120.71°
With the nearest neighbours (Å) after each atom.
Positions (direct):
Sb (0.0000, 0.0000, 0.5000)  6 O 1.97-2.08
Hg (0.8391, 0.1609, 0.0000)  2 O 2.16
Hg (0.1609, 0.8391, 0.0000)  2 O 2.16
O (0.9848, 0.2814, 0.6790)  1 Sb 2.08, 1 Hg 2.16
O (0.7186, 0.0153, 0.3210)  1 Sb 2.08, 1 Hg 2.16
O (0.2891, 0.2891, 0.3388)  1 Sb 1.97
O (0.2814, 0.9848, 0.6790)  1 Sb 2.08, 1 Hg 2.16
O (0.7109, 0.7109, 0.6612)  1 Sb 1.97
O (0.0152, 0.7186, 0.3210)  1 Sb 2.08, 1 Hg 2.16
Ca (0.3394, 0.6606, 0.5000)  6 O 2.34-2.43
Ca (0.6606, 0.3394, 0.5000)  6 O 2.34-2.43



An optimized crystal structure of MnZn2Ir, computed with PBE-GGA.

Values from the calculation:
The uncorrected energy is -0.193 Ha/atom. Its calculated volume is 56.2 Å³/cell.

Cell: 4.2988 4.2988 4.2988 Å, 60.00 60.00 60.00°
With the nearest neighbours (Å) after each atom.
Positions (direct):
Zn (0.0000, 0.0000, 0.0000)  4 Zn 2.63, 4 Mn 2.63
Zn (0.2500, 0.2500, 0.2500)  4 Ir 2.63, 4 Zn 2.63
Mn (0.7500, 0.7500, 0.7500)  4 Zn 2.63, 4 Ir 2.63
Ir (0.5000, 0.5000, 0.5000)  4 Mn 2.63, 4 Zn 2.63



An optimized crystal structure of Pr6Dy2HoMg, computed with PBE-GGA.

Values from the calculation:
The uncorrected energy is -0.158 Ha/atom. Its calculated volume is 677.3 Å³/cell.

Cell: 9.4797 8.6790 8.6790 Å, 105.76 95.85 95.85°
With the nearest neighbours (Å) after each atom.
Positions (direct):
Dy (0.9067, 0.7333, 0.8025)  2 Ho 3.34-3.74, 6 Pr 3.43-3.74, 1 Mg 3.46
Dy (0.5933, 0.1975, 0.2667)  2 Ho 3.34-3.74, 6 Pr 3.43-3.74, 1 Mg 3.46
Dy (0.0933, 0.2667, 0.1975)  2 Ho 3.34-3.74, 6 Pr 3.43-3.74, 1 Mg 3.46
Dy (0.4067, 0.8025, 0.7333)  2 Ho 3.34-3.74, 6 Pr 3.43-3.74, 1 Mg 3.46
Pr (0.5962, 0.4373, 0.6734)  2 Mg 3.25-3.41, 3 Pr 3.31-3.57, 2 Dy 3.57
Pr (0.8271, 0.4608, 0.0331)  1 Mg 3.29, 1 Ho 3.30, 3 Pr 3.42-3.58, 2 Dy 3.56
Pr (0.0962, 0.6734, 0.4373)  2 Mg 3.25-3.41, 3 Pr 3.31-3.57, 2 Dy 3.57
Pr (0.9038, 0.3266, 0.5627)  2 Mg 3.25-3.41, 3 Pr 3.31-3.57, 2 Dy 3.57
Pr (0.4237, 0.2538, 0.9218)  2 Dy 3.43-3.79, 4 Pr 3.45-3.83, 2 Ho 3.63-3.66, 1 Mg 3.72
Pr (0.0763, 0.0782, 0.7462)  2 Dy 3.43-3.79, 4 Pr 3.45-3.83, 2 Ho 3.63-3.66, 1 Mg 3.72
Pr (0.9237, 0.9218, 0.2538)  2 Dy 3.43-3.79, 4 Pr 3.45-3.83, 2 Ho 3.63-3.66, 1 Mg 3.72
Pr (0.4038, 0.5627, 0.3266)  2 Mg 3.25-3.41, 3 Pr 3.31-3.57, 2 Dy 3.57
Pr (0.6729, 0.9669, 0.5392)  1 Mg 3.29, 1 Ho 3.30, 3 Pr 3.42-3.58, 2 Dy 3.56
Pr (0.1729, 0.5392, 0.9669)  1 Mg 3.29, 1 Ho 3.30, 3 Pr 3.42-3.58, 2 Dy 3.56
Pr (0.5763, 0.7462, 0.0782)  2 Dy 3.43-3.79, 4 Pr 3.45-3.83, 2 Ho 3.63-3.66, 1 Mg 3.72
Pr (0.3271, 0.0331, 0.4608)  1 Mg 3.29, 1 Ho 3.30, 3 Pr 3.42-3.58, 2 Dy 3.56
Mg (0.7500, 0.5970, 0.4030)  6 Pr 3.25-3.41, 2 Dy 3.46
Mg (0.2500, 0.4030, 0.5970)  6 Pr 3.25-3.41, 2 Dy 3.46
Ho (0.7500, 0.0636, 0.9364)  6 Pr 3.30-3.66, 2 Dy 3.34
Ho (0.2500, 0.9364, 0.0636)  6 Pr 3.30-3.66, 2 Dy 3.34



An optimized crystal structure of NbFeGe, computed with PBE-GGA.

Values from the calculation:
The uncorrected energy is -0.297 Ha/atom. Its calculated volume is 261.2 Å³/cell.

Cell: 7.3998 7.3998 7.3998 Å, 127.45 122.50 81.64°
With the nearest neighbours (Å) after each atom.
Positions (direct):
Ge (0.1624, 0.1735, 0.0002)  3 Fe 2.48-2.52, 6 Nb 2.63-2.67
Ge (0.7187, 0.4625, 0.2438)  6 Fe 2.42-2.47, 2 Nb 2.61-2.67
Ge (0.6734, 0.1735, 0.5111)  3 Fe 2.48-2.52, 6 Nb 2.63-2.67
Ge (0.3266, 0.8378, 0.5002)  3 Fe 2.48-2.52, 6 Nb 2.63-2.67
Ge (0.2813, 0.5251, 0.7438)  6 Fe 2.42-2.47, 2 Nb 2.61-2.67
Ge (0.8376, 0.8378, 0.0111)  3 Fe 2.48-2.52, 6 Nb 2.63-2.67
Fe (0.5000, 0.7501, 0.2501)  4 Ge 2.47-2.52
Fe (0.6656, 0.5018, 0.9179)  4 Ge 2.42-2.49
Fe (0.9161, 0.2523, 0.4179)  4 Ge 2.42-2.49
Fe (0.3344, 0.2523, 0.8361)  4 Ge 2.42-2.49
Fe (0.0839, 0.5018, 0.3361)  4 Ge 2.42-2.49
Fe (0.0000, 0.7501, 0.7501)  4 Ge 2.47-2.52
Nb (0.9435, 0.8962, 0.4527)  5 Ge 2.66-2.87, 6 Fe 2.71-2.82
Nb (0.5304, 0.5080, 0.4776)  5 Ge 2.61-2.65, 2 Fe 2.88
Nb (0.2509, 0.0905, 0.3395)  5 Ge 2.63-2.67, 4 Fe 2.78-2.85
Nb (0.7491, 0.0886, 0.8395)  5 Ge 2.63-2.67, 4 Fe 2.78-2.85
Nb (0.0565, 0.5091, 0.9527)  5 Ge 2.66-2.87, 6 Fe 2.71-2.82
Nb (0.4696, 0.9472, 0.9776)  5 Ge 2.61-2.65, 2 Fe 2.88



An optimized crystal structure of Ca2CdP2Rh5, computed with PBE-GGA.

Values from the calculation:
The uncorrected energy is -0.221 Ha/atom. Its calculated volume is 333.9 Å³/cell.

Cell: 3.3780 9.9415 9.9415 Å, 90.00 90.00 90.00°
With the nearest neighbours (Å) after each atom.
Positions (direct):
Ca (0.0000, 0.6739, 0.1739)  3 P 2.82-3.01, 10 Rh 2.97-3.13
Ca (0.0000, 0.1739, 0.3261)  3 P 2.82-3.01, 10 Rh 2.97-3.13
Ca (0.0000, 0.8261, 0.6739)  3 P 2.82-3.01, 10 Rh 2.97-3.13
Ca (0.0000, 0.3261, 0.8261)  3 P 2.82-3.01, 10 Rh 2.97-3.13
Rh (0.5000, 0.5000, 0.0000)  4 P 2.44
Rh (0.5000, 0.7775, 0.9297)  2 P 2.33
Rh (0.5000, 0.7225, 0.4297)  2 P 2.33
Rh (0.5000, 0.0000, 0.5000)  4 P 2.44
Rh (0.5000, 0.4297, 0.2775)  2 P 2.33
Rh (0.5000, 0.9297, 0.2225)  2 P 2.33
Rh (0.5000, 0.2775, 0.5703)  2 P 2.33
Rh (0.5000, 0.5703, 0.7225)  2 P 2.33
Rh (0.5000, 0.2225, 0.0703)  2 P 2.33
Rh (0.5000, 0.0703, 0.7775)  2 P 2.33
P (0.0000, 0.1254, 0.6254)  6 Rh 2.33-2.44
P (0.0000, 0.8746, 0.3746)  6 Rh 2.33-2.44
P (0.0000, 0.3746, 0.1254)  6 Rh 2.33-2.44
P (0.0000, 0.6254, 0.8746)  6 Rh 2.33-2.44
Cd (0.0000, 0.0000, 0.0000)  8 Rh 2.87
Cd (0.0000, 0.5000, 0.5000)  8 Rh 2.87



An optimized crystal structure of BeTe4W, computed with PBE-GGA.

Values from the calculation:
The uncorrected energy is -0.119 Ha/atom. Its calculated volume is 168.9 Å³/cell. The calculation puts the formation energy from raw total energies at 1643 meV/atom.

Cell: 6.2043 6.2043 6.2043 Å, 60.00 60.00 60.00°
With the nearest neighbours (Å) after each atom.
Positions (direct):
W (0.7500, 0.7500, 0.7500)  12 Te 3.64, 4 Be 3.80
Te (0.3755, 0.3755, 0.8736)  6 Te 3.09-3.11
Te (0.8736, 0.3755, 0.3755)  6 Te 3.09-3.11
Te (0.3755, 0.8736, 0.3755)  6 Te 3.09-3.11
Te (0.3755, 0.3755, 0.3755)  6 Te 3.09-3.11
Be (0.0000, 0.0000, 0.0000)  12 Te 3.64, 4 W 3.80



An optimized crystal structure of Ta2AgC2, computed with PBE-GGA.

Values from the calculation:
The uncorrected energy is -0.300 Ha/atom. Its calculated volume is 130.6 Å³/cell. The value obtained for the distance to the lowest polymorph of the same formula is 590.3 meV per atom.

Cell: 6.7430 6.7430 2.8721 Å, 90.00 90.00 90.00°
With the nearest neighbours (Å) after each atom.
Positions (direct):
C (0.8601, 0.3601, 0.5000)  6 Ta 2.37-2.55
C (0.1399, 0.6399, 0.5000)  6 Ta 2.37-2.55
C (0.6399, 0.8601, 0.5000)  6 Ta 2.37-2.55
C (0.3601, 0.1399, 0.5000)  6 Ta 2.37-2.55
Ag (0.5000, 0.5000, 0.0000)  4 Ta 2.61, 2 Ag 2.87
Ag (0.0000, 0.0000, 0.0000)  4 Ta 2.61, 2 Ag 2.87
Ta (0.1395, 0.3605, 0.0000)  6 C 2.37-2.55, 2 Ag 2.61
Ta (0.3605, 0.8605, 0.0000)  6 C 2.37-2.55, 2 Ag 2.61
Ta (0.8605, 0.6395, 0.0000)  6 C 2.37-2.55, 2 Ag 2.61
Ta (0.6395, 0.1395, 0.0000)  6 C 2.37-2.55, 2 Ag 2.61